(1)
The following is a DFT calculation (PBE) of a geometry-optimized Nd2Gd2B3 structure.

Calculated volume ... 26.8 Å³/atom
Total energy ... -4.796 eV per atom
Magnetization ... 0.84 μB/f.u.

Unit cell a=10.069 b=10.069 c=5.661 alpha=90.00 beta=90.00 gamma=160.94
Site moments in Bohr magnetons follow the coordinates.
Fractional positions:
B (0.000, 0.000, 0.000)  0.22
B (0.738, 0.262, 0.000)  0.00
B (0.262, 0.738, 0.000)  0.00
Gd (0.869, 0.131, 0.000)  0.13
Gd (0.131, 0.869, 0.000)  0.13
Nd (0.674, 0.326, 0.500)  0.01
Nd (0.326, 0.674, 0.500)  0.01



(2)
The following is a DFT calculation (PBE) of a geometry-optimized RbYNi structure.

Offset from the most stable computed form ... 0.725 eV per atom
Calculated volume ... 28.1 Å³/atom
Total energy ... -2.947 eV per atom
Magnetization ... 0.04 μB/f.u.

Unit cell a=4.923 b=4.923 c=4.923 alpha=60.00 beta=60.00 gamma=60.00
Fractional positions:
Ni (0.250, 0.250, 0.250)
Rb (0.000, 0.000, 0.000)
Y (0.750, 0.750, 0.750)



(3)
The following is a DFT calculation (PBE) of a geometry-optimized CsTh2S6 structure.

Calculated volume ... 27.4 Å³/atom
Total energy ... -6.067 eV per atom
Magnetization ... 0.01 μB/f.u.

Unit cell a=11.883 b=11.883 c=11.883 alpha=159.89 beta=154.65 gamma=32.57
Fractional positions:
Cs (0.000, 0.000, 0.000)
S (0.232, 0.232, 0.000)
S (0.768, 0.768, 0.000)
S (0.855, 0.614, 0.242)
S (0.628, 0.386, 0.242)
S (0.145, 0.386, 0.758)
S (0.372, 0.614, 0.758)
Th (0.682, 0.182, 0.500)
Th (0.318, 0.818, 0.500)